TaMo5: optimized geometry, PBEsol.

Cell: 2.635 2.635 13.798 Å, 90.00 90.00 90.00°
Atoms (fractional coordinates):
Mo 0.000 0.000 0.829
Mo 0.000 0.000 0.171
Mo 0.500 0.500 0.664
Mo 0.500 0.500 0.336
Mo 0.000 0.000 0.500
Ta 0.500 0.500 0.000

Properties
E_tot in eV/f.u.: -69.5
Total moment in μB per atom: 0.00
Energy relative to the elements in eV/f.u.: 1.851